1.
First-principles (PBE) data for an optimized crystal structure of U2Ge4Pd3Au, as listed in the Alexandria database.

```
U2Ge4Pd3Au
1.0
-1.481 2.626 3.006
-3.194 1.143 -2.573
-5.909 -7.774 3.881
Pd U Ge Au
3 2 4 1
Direct
0.500 0.000 0.872
0.000 0.000 0.500
0.000 0.500 0.128
0.000 0.500 0.752
0.500 0.000 0.248
0.000 0.000 0.000
0.000 0.500 0.358
0.500 0.000 0.642
0.500 0.500 0.000
0.500 0.500 0.500
```

Results
Formation enthalpy at 0 K   -0.361 eV/atom
Uncorrected energy   -6.351 eV/atom
DOS(E_F)   15.7 states/eV per cell
Volume   190.5 Å³/f.u.

=====

2.
First-principles (PBE) data for an optimized crystal structure of RbCdInBi2, as listed in the Alexandria database.

```
RbCdInBi2
1.0
-2.303 -3.129 3.111
0.687 -3.721 -3.234
7.180 1.865 3.209
Bi Rb In Cd
2 1 1 1
Direct
0.624 0.624 0.248
0.376 0.376 0.752
0.000 0.000 0.000
0.250 0.750 0.500
0.750 0.250 0.500
```

Results
Formation enthalpy at 0 K   -0.207 eV/atom
Uncorrected energy   -2.684 eV/atom
DOS(E_F)   1.7 states/eV per cell
Volume   180.3 Å³/f.u.

=====

Q: What is the volume in the first record?
A: 190.5 Å³/f.u.

=====

Q: The lowest DOS(E_F) belongs to which entry?
A: RbCdInBi2

=====

Q: Which of these has the lowest DOS(E_F)?
A: RbCdInBi2

=====

Q: Which of these has the highest volume?
A: U2Ge4Pd3Au